This record from Alexandria describes crystalline Pm2Y5Sb4 at its relaxed geometry. The functional is GGA-PBE.

a = 10.7915 Å, b = 10.7915 Å, c = 8.4924 Å
α = 113.17°, β = 113.17°, γ = 21.79°
Closest atoms and distances in Å follow each position.
Atoms (fractional coordinates):
Pm (0.0902, 0.0902, 0.1561)  6 Sb 3.28-3.31
Pm (0.9098, 0.9098, 0.8439)  6 Sb 3.28-3.31
Y (0.0000, 0.0000, 0.5000)  8 Sb 3.27-3.52
Y (0.2514, 0.2514, 0.6651)  3 Sb 3.12-3.18, 2 Y 3.45
Y (0.3227, 0.3227, 0.1176)  2 Sb 3.00-3.12
Y (0.6773, 0.6773, 0.8824)  2 Sb 3.00-3.12
Y (0.7486, 0.7486, 0.3349)  3 Sb 3.12-3.18, 2 Y 3.45
Sb (0.3670, 0.3670, 0.5151)  4 Y 3.12-3.18, 2 Pm 3.28, 1 Sb 3.35
Sb (0.4725, 0.4725, 0.1785)  3 Y 3.00-3.27, 4 Pm 3.29-3.31, 1 Sb 3.35
Sb (0.5275, 0.5275, 0.8215)  3 Y 3.00-3.27, 4 Pm 3.29-3.31, 1 Sb 3.35
Sb (0.6330, 0.6330, 0.4849)  4 Y 3.12-3.18, 2 Pm 3.28, 1 Sb 3.35

Summary:
Space-group type: C2/m (12)
DOS at the Fermi energy: 0.92 states/eV per atom
Energy: -5.953 eV per atom

This record from Alexandria describes crystalline Sm2Ga4FePt3 at its relaxed geometry. The functional is GGA-PBE.

a = 4.2485 Å, b = 4.2485 Å, c = 10.3369 Å
α = 90.00°, β = 90.00°, γ = 90.00°
Closest atoms and distances in Å follow each position.
Atoms (fractional coordinates):
Sm (0.0000, 0.5000, 0.2372)  8 Ga 3.23-3.45, 2 Fe 3.24, 6 Pt 3.24-3.28
Sm (0.5000, 0.0000, 0.7628)  8 Ga 3.23-3.45, 2 Fe 3.24, 6 Pt 3.24-3.28
Ga (0.0000, 0.0000, 0.5000)  4 Pt 2.55
Ga (0.0000, 0.5000, 0.8778)  2 Fe 2.47, 3 Pt 2.47-2.50
Ga (0.5000, 0.0000, 0.1222)  2 Fe 2.47, 3 Pt 2.47-2.50
Ga (0.5000, 0.5000, 0.5000)  4 Pt 2.55
Fe (0.5000, 0.5000, 0.0000)  4 Ga 2.47
Pt (0.0000, 0.0000, 0.0000)  4 Ga 2.47
Pt (0.0000, 0.5000, 0.6361)  5 Ga 2.50-2.55
Pt (0.5000, 0.0000, 0.3639)  5 Ga 2.50-2.55

Summary:
Space-group type: P-4m2 (115)
DOS at the Fermi energy: 0.56 states/eV per atom
Energy: -5.598 eV per atom

- Which formula does entry 1 have?
  Pm2Y5Sb4

- What is the DOS at the Fermi energy in the second record?
  0.56 states/eV per atom

Copy entry 2 word for word.
This record from Alexandria describes crystalline Sm2Ga4FePt3 at its relaxed geometry. The functional is GGA-PBE.

a = 4.2485 Å, b = 4.2485 Å, c = 10.3369 Å
α = 90.00°, β = 90.00°, γ = 90.00°
Closest atoms and distances in Å follow each position.
Atoms (fractional coordinates):
Sm (0.0000, 0.5000, 0.2372)  8 Ga 3.23-3.45, 2 Fe 3.24, 6 Pt 3.24-3.28
Sm (0.5000, 0.0000, 0.7628)  8 Ga 3.23-3.45, 2 Fe 3.24, 6 Pt 3.24-3.28
Ga (0.0000, 0.0000, 0.5000)  4 Pt 2.55
Ga (0.0000, 0.5000, 0.8778)  2 Fe 2.47, 3 Pt 2.47-2.50
Ga (0.5000, 0.0000, 0.1222)  2 Fe 2.47, 3 Pt 2.47-2.50
Ga (0.5000, 0.5000, 0.5000)  4 Pt 2.55
Fe (0.5000, 0.5000, 0.0000)  4 Ga 2.47
Pt (0.0000, 0.0000, 0.0000)  4 Ga 2.47
Pt (0.0000, 0.5000, 0.6361)  5 Ga 2.50-2.55
Pt (0.5000, 0.0000, 0.3639)  5 Ga 2.50-2.55

Summary:
Space-group type: P-4m2 (115)
DOS at the Fermi energy: 0.56 states/eV per atom
Energy: -5.598 eV per atom

- Among the records above, which one has the lowest DOS at the Fermi energy?
  Sm2Ga4FePt3